Entry 1:
SbSe2BrN | PBE | optimized geometry

Properties
symmetry: P4/mmm
formation energy without anion corrections: 4.87 eV/f.u.
energy relative to the lowest polymorph listed for this composition: 14.9 kJ per mole of atoms

a = 5.4730 Å, b = 5.4730 Å, c = 3.9637 Å
α = 90.00°, β = 90.00°, γ = 90.00°
Closest atoms and distances in Å follow each position.
Positions (direct):
N  0.0000  0.0000  0.5000  2 Sb 1.98
Sb  0.0000  0.0000  0.0000  2 N 1.98
Se  0.5000  0.0000  0.0000  2 Sb 2.74
Se  0.0000  0.5000  0.0000  2 Sb 2.74
Br  0.5000  0.5000  0.5000  8 Se 3.38

---

Entry 2:
KBSN2 | PBE | optimized geometry

Properties
symmetry: P4/mmm
formation energy without anion corrections: 7.34 eV/f.u.
energy relative to the lowest polymorph listed for this composition: 0.0 kJ per mole of atoms

a = 3.7787 Å, b = 3.7787 Å, c = 4.3439 Å
α = 90.00°, β = 90.00°, γ = 90.00°
Closest atoms and distances in Å follow each position.
Positions (direct):
N  0.0000  0.5000  0.0000  2 B 1.89
N  0.5000  0.0000  0.0000  2 B 1.89
K  0.5000  0.5000  0.5000  4 S 2.67, 8 N 2.88
B  0.0000  0.0000  0.0000  4 N 1.89
S  0.0000  0.0000  0.5000  2 B 2.17

---

Entry 3:
CdPO3 | PBE | optimized geometry

Properties
symmetry: C2/c
formation energy without anion corrections: -7.43 eV/f.u.

a = 6.3459 Å, b = 6.7258 Å, c = 6.7258 Å
α = 89.78°, β = 77.24°, γ = 77.24°
Closest atoms and distances in Å follow each position.
Positions (direct):
O  0.3503  0.7071  0.6053  1 P 1.55
O  0.1453  0.7775  0.9783  1 P 1.61
O  0.6356  0.5900  0.1499  1 P 1.56
O  0.1356  0.1499  0.5900  1 P 1.56
O  0.3644  0.4100  0.8501  1 P 1.56
O  0.3547  0.0217  0.2225  1 P 1.61
O  0.8644  0.8501  0.4100  1 P 1.56
O  0.1497  0.3947  0.2929  1 P 1.55
O  0.6453  0.9783  0.7775  1 P 1.61
O  0.6497  0.2929  0.3947  1 P 1.55
O  0.8503  0.6053  0.7071  1 P 1.55
O  0.8547  0.2225  0.0217  1 P 1.61
Cd  0.7500  0.2976  0.7024  6 O 2.30-2.40
Cd  0.7500  0.8978  0.1022  6 O 2.34-2.44
Cd  0.2500  0.1022  0.8978  6 O 2.34-2.44
Cd  0.2500  0.7024  0.2976  6 O 2.30-2.40
P  0.7210  0.7903  0.6118  3 O 1.55-1.61
P  0.2790  0.2097  0.3882  3 O 1.55-1.61
P  0.2210  0.6118  0.7903  3 O 1.55-1.61
P  0.7790  0.3882  0.2097  3 O 1.55-1.61

---

Entry 4:
TaIn2As2 | PBE | optimized geometry

Properties
symmetry: P4/mbm
energy relative to the lowest polymorph listed for this composition: 0.0 kJ per mole of atoms
energy relative to the elements: 0.14 eV per atom

a = 6.8365 Å, b = 6.8365 Å, c = 4.6187 Å
α = 90.00°, β = 90.00°, γ = 90.00°
Closest atoms and distances in Å follow each position.
Positions (direct):
As  0.3532  0.8532  0.0000  2 Ta 2.61, 1 As 2.84, 2 In 2.90
As  0.8532  0.6468  0.0000  2 Ta 2.61, 1 As 2.84, 2 In 2.90
As  0.6468  0.1468  0.0000  2 Ta 2.61, 1 As 2.84, 2 In 2.90
As  0.1468  0.3532  0.0000  2 Ta 2.61, 1 As 2.84, 2 In 2.90
In  0.8282  0.3282  0.5000  6 As 2.90-3.18
In  0.6718  0.8282  0.5000  6 As 2.90-3.18
In  0.1718  0.6718  0.5000  6 As 2.90-3.18
In  0.3282  0.1718  0.5000  6 As 2.90-3.18
Ta  0.0000  0.0000  0.0000  4 As 2.61
Ta  0.5000  0.5000  0.0000  4 As 2.61

---

Entry 5:
Pm3TlCu | PBE | optimized geometry

Properties
symmetry: Pm-3m
energy relative to the elements: -0.14 eV per atom

a = 7.4571 Å, b = 7.4571 Å, c = 7.4571 Å
α = 90.00°, β = 90.00°, γ = 90.00°
Closest atoms and distances in Å follow each position.
Positions (direct):
Cu  0.5000  0.0000  0.0000  8 Pm 3.16
Cu  0.0000  0.0000  0.5000  8 Pm 3.16
Cu  0.0000  0.5000  0.0000  8 Pm 3.16
Tl  0.5000  0.5000  0.0000  8 Pm 3.32
Tl  0.5000  0.0000  0.5000  8 Pm 3.32
Tl  0.0000  0.5000  0.5000  8 Pm 3.32
Pm  0.7682  0.7682  0.7682  3 Cu 3.16, 3 Tl 3.32, 4 Pm 3.46
Pm  0.5000  0.5000  0.5000  8 Pm 3.46, 6 Tl 3.73
Pm  0.7682  0.2318  0.7682  3 Cu 3.16, 3 Tl 3.32, 4 Pm 3.46
Pm  0.7682  0.2318  0.2318  3 Cu 3.16, 3 Tl 3.32, 4 Pm 3.46
Pm  0.2318  0.7682  0.7682  3 Cu 3.16, 3 Tl 3.32, 4 Pm 3.46
Pm  0.2318  0.2318  0.2318  3 Cu 3.16, 3 Tl 3.32, 4 Pm 3.46
Pm  0.7682  0.7682  0.2318  3 Cu 3.16, 3 Tl 3.32, 4 Pm 3.46
Pm  0.2318  0.7682  0.2318  3 Cu 3.16, 3 Tl 3.32, 4 Pm 3.46
Pm  0.2318  0.2318  0.7682  3 Cu 3.16, 3 Tl 3.32, 4 Pm 3.46

---

Entry 6:
Al2ZnIr | PBE | optimized geometry

Properties
symmetry: P4/mmm
energy relative to the elements: -0.41 eV per atom

a = 3.9521 Å, b = 3.9501 Å, c = 3.6754 Å
α = 90.00°, β = 90.00°, γ = 90.00°
Closest atoms and distances in Å follow each position.
Positions (direct):
Zn  0.0000  0.5000  0.5000  8 Al 2.70, 4 Ir 2.79
Al  0.0000  0.0000  0.0000  4 Zn 2.70, 4 Ir 2.70, 4 Al 2.79
Al  0.5000  0.5000  0.0000  4 Ir 2.70, 4 Zn 2.70, 4 Al 2.79
Ir  0.5000  0.0000  0.5000  8 Al 2.70, 4 Zn 2.79

---

Number 1: magnetic moment 0.868 μB/cell, density 5.23 g/cm³, total energy -3.244 eV/atom. Number 2: magnetic moment 1.869 μB/cell, density 2.94 g/cm³, total energy -4.243 eV/atom. Number 3: magnetic moment 0.000 μB/cell, density 4.66 g/cm³, total energy -5.727 eV/atom. Number 4: magnetic moment 0.000 μB/cell, density 8.62 g/cm³, total energy -5.182 eV/atom. Number 5: magnetic moment 1.066 μB/cell, density 8.44 g/cm³, total energy -4.284 eV/atom. Number 6: magnetic moment 0.000 μB/cell, density 9.02 g/cm³, total energy -4.817 eV/atom.